Model P:
Density functional theory data (PBE with a Hubbard U) for a geometry-optimized K3NaMo2O8 structure.

a b c (Å): 6.164 6.164 15.530
angles (deg): 90.16 90.16 59.68
Positions (direct):
K1 0.695 0.648 0.088
K2 0.305 0.352 0.912
K3 0.063 0.937 0.250
K4 0.937 0.063 0.750
K5 0.352 0.305 0.412
K6 0.648 0.695 0.588
Na1 0.000 0.000 0.000
Na2 0.000 0.000 0.500
Mo1 0.637 0.685 0.863
Mo2 0.363 0.315 0.137
Mo3 0.315 0.363 0.637
Mo4 0.685 0.637 0.363
O1 0.393 0.269 0.747
O2 0.232 0.139 0.090
O3 0.699 0.143 0.123
O4 0.396 0.763 0.423
O5 0.768 0.861 0.910
O6 0.857 0.301 0.377
O7 0.861 0.768 0.410
O8 0.143 0.699 0.623
O9 0.604 0.237 0.577
O10 0.607 0.731 0.253
O11 0.301 0.857 0.877
O12 0.237 0.604 0.077
O13 0.731 0.607 0.753
O14 0.269 0.393 0.247
O15 0.763 0.396 0.923
O16 0.139 0.232 0.590

Results
- Theoretical density: 3.00 Mg/m³
- SG: No. 15
- Density of states at the Fermi level: 0.00 states/eV/atom
- Calculated volume: 509 Å³/cell

Model Q:
Density functional theory data (PBE with a Hubbard U) for a geometry-optimized K3NaMo2O8 structure.

a b c (Å): 6.148 6.148 7.770
angles (deg): 90.00 90.00 120.00
Positions (direct):
K1 0.333 0.667 0.658
K2 0.667 0.333 0.342
K3 0.000 0.000 0.000
Na1 0.000 0.000 0.500
Mo1 0.333 0.667 0.217
Mo2 0.667 0.333 0.783
O1 0.333 0.667 0.987
O2 0.667 0.333 0.013
O3 0.176 0.824 0.301
O4 0.824 0.176 0.699
O5 0.176 0.351 0.301
O6 0.824 0.649 0.699
O7 0.649 0.824 0.301
O8 0.351 0.176 0.699

Results
- Theoretical density: 3.00 Mg/m³
- SG: No. 164
- Density of states at the Fermi level: 0.00 states/eV/atom
- Calculated volume: 254 Å³/cell

model P is preferred energetically. Next in line: 6 meV/atom higher.